# CePrY3Ho, optimized geometry, DFT PBE
data_CePrY3Ho
_chemical_formula_sum 'Ce4 Pr4 Y12 Ho4'
_space_group_name_H-M_alt 'C m c m'
_space_group_IT_number 63
_space_group_name_Hall '-C 2c 2'
_cell_length_a 5.085
_cell_length_b 15.152
_cell_length_c 10.148
_cell_angle_alpha 90.00
_cell_angle_beta 90.00
_cell_angle_gamma 90.00
loop_
_atom_site_label
_atom_site_fract_x
_atom_site_fract_y
_atom_site_fract_z
Ce1 0.000 0.001 0.250
Pr1 0.000 0.500 0.000
Y1 0.000 0.166 0.000
Y2 0.000 0.333 0.250
Ho1 0.000 0.333 0.750
# Energy of formation from the pure elements in eV per atom: 0.063
# Final energy in eV/atom: -5.72